1.
# NiP4, optimized geometry, DFT PBE
data_NiP4
_chemical_formula_sum 'Ni2 P8'
_symmetry_space_group_name_H-M 'I 4/m'
_symmetry_Int_Tables_number 87
_symmetry_space_group_name_Hall '-I 4'
_cell_length_a 7.767
_cell_length_b 7.767
_cell_length_c 3.514
_cell_angle_alpha 90.00
_cell_angle_beta 90.00
_cell_angle_gamma 90.00
loop_
_atom_site_label
_atom_site_type_symbol
_atom_site_fract_x
_atom_site_fract_y
_atom_site_fract_z
Ni1 Ni 0.000 0.000 0.000
P1 P 0.065 0.193 0.500
# Energy of formation from the pure elements ... 61 meV/atom
# Volume ... 105.99 Å³/f.u.
# Size of the total moment ... 0.000 μB/f.u.

=====

2.
# NiP4, optimized geometry, DFT PBE
data_NiP4
_chemical_formula_sum 'Ni6 P24'
_symmetry_space_group_name_H-M 'P 1 21/c 1'
_symmetry_Int_Tables_number 14
_cell_length_a 4.818
_cell_length_b 14.054
_cell_length_c 7.019
_cell_angle_alpha 90.00
_cell_angle_beta 101.68
_cell_angle_gamma 90.00
loop_
_symmetry_equiv_pos_as_xyz
'x,y,z'
'-x,-y,-z'
'-x,y+1/2,-z+1/2'
'x,-y+1/2,z+1/2'
loop_
_atom_site_label
_atom_site_type_symbol
_atom_site_fract_x
_atom_site_fract_y
_atom_site_fract_z
Ni1 Ni 0.000 0.000 0.000
Ni2 Ni 0.144 0.171 0.379
P1 P 0.075 0.728 0.876
P2 P 0.210 0.552 0.253
P3 P 0.254 0.616 0.707
P4 P 0.358 0.107 0.137
P5 P 0.378 0.054 0.573
P6 P 0.495 0.717 0.546
# Energy of formation from the pure elements ... -165 meV/atom
# Volume ... 77.57 Å³/f.u.
# Size of the total moment ... 0.000 μB/f.u.

=====

3.
# Ni3P5, optimized geometry, DFT PBE
data_Ni3P5
_chemical_formula_sum 'Ni6 P10'
_symmetry_space_group_name_H-M 'P 63/m c m'
_symmetry_Int_Tables_number 193
_symmetry_space_group_name_Hall '-P 6c 2'
_cell_length_a 7.1669
_cell_length_b 7.1669
_cell_length_c 4.7929
_cell_angle_alpha 90.00
_cell_angle_beta 90.00
_cell_angle_gamma 120.00
loop_
_atom_site_label
_atom_site_type_symbol
_atom_site_fract_x
_atom_site_fract_y
_atom_site_fract_z
Ni1 Ni 0.0000 0.3653 0.2500
P1 P 0.0000 0.2809 0.7500
P2 P 0.3333 0.6667 0.0000
# Energy of formation from the pure elements ... 168 meV/atom
# Volume ... 106.60 Å³/f.u.
# Size of the total moment ... 0.000 μB/f.u.
# E above lowest polymorph ... 251 meV per atom

=====

4.
# NiP4, optimized geometry, DFT PBE
data_NiP4
_chemical_formula_sum 'Ni8 P32'
_symmetry_space_group_name_H-M 'C 1 2/c 1'
_symmetry_Int_Tables_number 15
_cell_length_a 5.215
_cell_length_b 10.628
_cell_length_c 11.327
_cell_angle_alpha 90.00
_cell_angle_beta 93.21
_cell_angle_gamma 90.00
loop_
_symmetry_equiv_pos_as_xyz
'x,y,z'
'-x,-y,-z'
'-x,y,-z+1/2'
'x,-y,z+1/2'
'x+1/2,y+1/2,z'
'-x+1/2,-y+1/2,-z'
'-x+1/2,y+1/2,-z+1/2'
'x+1/2,-y+1/2,z+1/2'
loop_
_atom_site_label
_atom_site_type_symbol
_atom_site_fract_x
_atom_site_fract_y
_atom_site_fract_z
Ni1 Ni 0.000 0.080 0.250
Ni2 Ni 0.250 0.250 0.500
P1 P 0.044 0.092 0.047
P2 P 0.064 0.399 0.023
P3 P 0.193 0.258 0.711
P4 P 0.196 0.431 0.214
# Energy of formation from the pure elements ... -163 meV/atom
# Volume ... 78.34 Å³/f.u.
# Size of the total moment ... 0.000 μB/f.u.

=====

5.
# Ni2P3, optimized geometry, DFT PBE
data_Ni2P3
_chemical_formula_sum 'Ni8 P12'
_symmetry_space_group_name_H-M 'C 1 2/c 1'
_symmetry_Int_Tables_number 15
_cell_length_a 9.457
_cell_length_b 5.997
_cell_length_c 5.678
_cell_angle_alpha 90.00
_cell_angle_beta 121.91
_cell_angle_gamma 90.00
loop_
_symmetry_equiv_pos_as_xyz
'x,y,z'
'-x,-y,-z'
'-x,y,-z+1/2'
'x,-y,z+1/2'
'x+1/2,y+1/2,z'
'-x+1/2,-y+1/2,-z'
'-x+1/2,y+1/2,-z+1/2'
'x+1/2,-y+1/2,z+1/2'
loop_
_atom_site_label
_atom_site_type_symbol
_atom_site_fract_x
_atom_site_fract_y
_atom_site_fract_z
Ni1 Ni 0.091 0.249 0.147
P1 P 0.000 0.428 0.750
P2 P 0.168 0.079 0.569
# Energy of formation from the pure elements ... -239 meV/atom
# Volume ... 68.33 Å³/f.u.
# Size of the total moment ... 0.000 μB/f.u.

=====

6.
# Ni5P4, optimized geometry, DFT PBE
data_Ni5P4
_chemical_formula_sum 'Ni20 P16'
_symmetry_space_group_name_H-M 'P 63 m c'
_symmetry_Int_Tables_number 186
_symmetry_space_group_name_Hall 'P 6c -2c'
_cell_length_a 6.7892
_cell_length_b 6.7892
_cell_length_c 10.9944
_cell_angle_alpha 90.00
_cell_angle_beta 90.00
_cell_angle_gamma 120.00
loop_
_atom_site_label
_atom_site_type_symbol
_atom_site_fract_x
_atom_site_fract_y
_atom_site_fract_z
Ni1 Ni 0.0000 0.0000 0.0383
Ni2 Ni 0.0740 0.5370 0.1484
Ni3 Ni 0.0809 0.5404 0.8578
Ni4 Ni 0.2069 0.4138 0.5000
P1 P 0.0000 0.0000 0.2373
P2 P 0.1791 0.3582 0.2953
P3 P 0.1818 0.3636 0.0060
P4 P 0.3333 0.6667 0.6788
# Energy of formation from the pure elements ... -477 meV/atom
# Volume ... 109.72 Å³/f.u.
# Size of the total moment ... 0.000 μB/f.u.

=====

7.
# Ni3P, optimized geometry, DFT PBE
data_Ni3P
_chemical_formula_sum 'Ni3 P1'
_symmetry_space_group_name_H-M 'P 4/m m m'
_symmetry_Int_Tables_number 123
_symmetry_space_group_name_Hall '-P 4 2'
_cell_length_a 2.969
_cell_length_b 2.969
_cell_length_c 5.004
_cell_angle_alpha 90.00
_cell_angle_beta 90.00
_cell_angle_gamma 90.00
loop_
_atom_site_label
_atom_site_type_symbol
_atom_site_fract_x
_atom_site_fract_y
_atom_site_fract_z
Ni1 Ni 0.000 0.000 0.000
Ni2 Ni 0.500 0.500 0.261
P1 P 0.000 0.000 0.500
# Energy of formation from the pure elements ... -122 meV/atom
# Volume ... 44.12 Å³/f.u.
# Size of the total moment ... 0.000 μB/f.u.

=====

8.
# Ni5P4, optimized geometry, DFT PBE
data_Ni5P4
_chemical_formula_sum 'Ni10 P8'
_symmetry_space_group_name_H-M 'P 63/m c m'
_symmetry_Int_Tables_number 193
_symmetry_space_group_name_Hall '-P 6c 2'
_cell_length_a 6.6459
_cell_length_b 6.6459
_cell_length_c 5.6609
_cell_angle_alpha 90.00
_cell_angle_beta 90.00
_cell_angle_gamma 120.00
loop_
_atom_site_label
_atom_site_type_symbol
_atom_site_fract_x
_atom_site_fract_y
_atom_site_fract_z
Ni1 Ni 0.0000 0.3010 0.2500
Ni2 Ni 0.3333 0.6667 0.0000
P1 P 0.0000 0.0000 0.0000
P2 P 0.0000 0.3728 0.7500
# Energy of formation from the pure elements ... -94 meV/atom
# Volume ... 108.26 Å³/f.u.
# Size of the total moment ... 0.000 μB/f.u.

=====

9.
# Ni3P, optimized geometry, DFT PBE
data_Ni3P
_chemical_formula_sum 'Ni24 P8'
_symmetry_space_group_name_H-M 'P 42/n'
_symmetry_Int_Tables_number 86
_cell_length_a 8.968
_cell_length_b 8.968
_cell_length_c 4.374
_cell_angle_alpha 90.00
_cell_angle_beta 90.00
_cell_angle_gamma 90.00
loop_
_symmetry_equiv_pos_as_xyz
'x,y,z'
'-x,-y,-z'
'-y,x+1/2,z+1/2'
'y,-x+1/2,-z+1/2'
'-x+1/2,-y+1/2,z'
'x+1/2,y+1/2,-z'
'y+1/2,-x,z+1/2'
'-y+1/2,x,-z+1/2'
loop_
_atom_site_label
_atom_site_type_symbol
_atom_site_fract_x
_atom_site_fract_y
_atom_site_fract_z
Ni1 Ni 0.025 0.925 0.247
Ni2 Ni 0.114 0.281 0.026
Ni3 Ni 0.141 0.826 0.740
P1 P 0.036 0.296 0.523
# Energy of formation from the pure elements ... -424 meV/atom
# Volume ... 43.98 Å³/f.u.
# Size of the total moment ... 0.000 μB/f.u.

=====

10.
# NiP4, optimized geometry, DFT PBE
data_NiP4
_chemical_formula_sum 'Ni1 P4'
_symmetry_space_group_name_H-M 'P m -3 m'
_symmetry_Int_Tables_number 221
_symmetry_space_group_name_Hall '-P 4 2 3'
_cell_length_a 4.371
_cell_length_b 4.371
_cell_length_c 4.371
_cell_angle_alpha 90.00
_cell_angle_beta 90.00
_cell_angle_gamma 90.00
loop_
_atom_site_label
_atom_site_type_symbol
_atom_site_fract_x
_atom_site_fract_y
_atom_site_fract_z
Ni1 Ni 0.000 0.000 0.000
P1 P 0.000 0.000 0.500
P2 P 0.500 0.500 0.500
# Energy of formation from the pure elements ... 826 meV/atom
# Volume ... 83.53 Å³/f.u.
# Size of the total moment ... 0.000 μB/f.u.

=====

11.
# Ni3P, optimized geometry, DFT PBE
data_Ni3P
_chemical_formula_sum 'Ni9 P3'
_symmetry_space_group_name_H-M 'R -3 m'
_symmetry_Int_Tables_number 166
_symmetry_space_group_name_Hall '-R 3 2"'
_cell_length_a 2.6315
_cell_length_b 2.6315
_cell_length_c 22.3996
_cell_angle_alpha 90.00
_cell_angle_beta 90.00
_cell_angle_gamma 120.00
loop_
_atom_site_label
_atom_site_type_symbol
_atom_site_fract_x
_atom_site_fract_y
_atom_site_fract_z
Ni1 Ni 0.0000 0.0000 0.0000
Ni2 Ni 0.0000 0.0000 0.2429
P1 P 0.0000 0.0000 0.5000
# Energy of formation from the pure elements ... -81 meV/atom
# Volume ... 44.78 Å³/f.u.
# Size of the total moment ... 0.000 μB/f.u.

=====

12.
# Ni12P5, optimized geometry, DFT PBE
data_Ni12P5
_chemical_formula_sum 'Ni24 P10'
_symmetry_space_group_name_H-M 'I 4/m'
_symmetry_Int_Tables_number 87
_symmetry_space_group_name_Hall '-I 4'
_cell_length_a 8.641
_cell_length_b 8.641
_cell_length_c 5.051
_cell_angle_alpha 90.00
_cell_angle_beta 90.00
_cell_angle_gamma 90.00
loop_
_atom_site_label
_atom_site_type_symbol
_atom_site_fract_x
_atom_site_fract_y
_atom_site_fract_z
Ni1 Ni 0.060 0.634 0.000
Ni2 Ni 0.117 0.181 0.249
P1 P 0.000 0.000 0.000
P2 P 0.087 0.695 0.500
# Energy of formation from the pure elements ... -478 meV/atom
# Volume ... 188.55 Å³/f.u.
# Size of the total moment ... 0.000 μB/f.u.